Below is crystalline LiTbGdPd at its relaxed geometry, with properties calculated at the PBE level.

abc: 7.1595 7.1595 7.1595
angles: 90.00 90.00 90.00
Space group F-43m (No. 216)
Unique sites:
Li: 0.0000 0.0000 0.0000 x4
Tb: 0.2500 0.2500 0.7500 x4
Gd: 0.2500 0.2500 0.2500 x4
Pd: 0.0000 0.0000 0.5000 x4

Calculated values
E_form in eV/f.u.: -1.5
Density of states at the Fermi level in states/eV per atom: 0.769